No. 1
The following is a GGA-PBE calculation of a relaxed structure of La8NdEr6, from the Alexandria database.

Results
magnetic moment	0.0	μB/f.u.
formation energy from the elements	2.6	eV/f.u.

Lattice parameters (Å, degrees): 9.4654 9.4654 6.6472 90.00 90.00 120.00
Space group P-3 (No. 147)
One atom of each set of equivalent atoms:
1 La 0.0485 0.7547 0.1717 x6
2 La 0.3333 0.6667 0.1224 x2
3 Nd 0.0000 0.0000 0.5000 x1
4 Er 0.1010 0.6580 0.6564 x6


No. 2
The following is a GGA-PBE calculation of a relaxed structure of ZnPPb2, from the Alexandria database.

Results
E above lowest polymorph	0.000	kcal/mol of atoms
magnetic moment	0.0	μB/f.u.
formation energy from the elements	0.3	eV/f.u.

Lattice parameters (Å, degrees): 4.747 3.849 5.883 90.00 113.67 90.00
Space group Pm (No. 6)
One atom of each set of equivalent atoms:
1 Zn 0.000 0.000 0.000 x1
2 P 0.127 0.500 0.279 x1
3 Pb 0.405 0.500 0.814 x1
4 Pb 0.713 0.000 0.437 x1


No. 3
The following is a GGA-PBE calculation of a relaxed structure of Rb2ZnIn7, from the Alexandria database.

Results
magnetic moment	0.0	μB/f.u.
formation energy from the elements	-0.7	eV/f.u.

Lattice parameters (Å, degrees): 5.034 5.034 12.440 90.00 90.00 90.00
Space group P-4m2 (No. 115)
One atom of each set of equivalent atoms:
1 Rb 0.000 0.500 0.244 x2
2 Zn 0.500 0.500 0.000 x1
3 In 0.000 0.000 0.000 x1
4 In 0.000 0.000 0.500 x1
5 In 0.000 0.500 0.639 x2
6 In 0.000 0.500 0.877 x2
7 In 0.500 0.500 0.500 x1